Entry 1:
This record from Alexandria describes a relaxed structure of SrTaSe. The functional is GGA-PBE.

Geometry as POSCAR:
```
SrTaSe
1.0
3.582 0.000 0.000
-1.791 3.102 0.000
0.000 0.000 6.671
Sr Ta Se
1 1 1
Direct
0.000 0.000 0.000
0.667 0.333 0.411
0.333 0.667 0.652
```

Values from the calculation:
The density of states at the Fermi level comes out at 0.255 states/eV per atom. The calculation puts the formation energy (no corrections) at -0.168 eV per atom. For the volume, the calculation gives 74.1 Å³ per cell.



Entry 2:
This record from Alexandria describes a relaxed structure of Sr3TaSe6. The functional is GGA-PBE.

Geometry as POSCAR:
```
Sr3TaSe6
1.0
7.254 0.000 0.000
0.000 7.829 0.000
-6.766 0.000 10.386
Sr Ta Se
6 2 12
Direct
0.000 0.000 0.000
0.000 0.500 0.500
0.294 0.097 0.758
0.294 0.403 0.258
0.706 0.597 0.742
0.706 0.903 0.242
0.500 0.000 0.500
0.500 0.500 0.000
0.142 0.039 0.277
0.142 0.461 0.777
0.277 0.674 0.068
0.277 0.826 0.568
0.409 0.214 0.072
0.409 0.286 0.572
0.591 0.714 0.428
0.591 0.786 0.928
0.723 0.174 0.432
0.723 0.326 0.932
0.858 0.539 0.223
0.858 0.961 0.723
```

Values from the calculation:
The density of states at the Fermi level comes out at 1.089 states/eV per atom. The calculation puts the formation energy (no corrections) at -1.341 eV per atom. For the volume, the calculation gives 589.8 Å³ per cell.



Entry 3:
This record from Alexandria describes a relaxed structure of SrTaSe2. The functional is GGA-PBE.

Geometry as POSCAR:
```
SrTaSe2
1.0
-1.793 1.843 6.970
1.793 -1.843 6.970
1.793 1.843 -6.970
Sr Ta Se
1 1 2
Direct
0.000 0.000 0.000
0.253 0.753 0.500
0.389 0.389 0.000
0.677 0.177 0.500
```

Values from the calculation:
The density of states at the Fermi level comes out at 0.524 states/eV per atom. The calculation puts the formation energy (no corrections) at -0.798 eV per atom. For the volume, the calculation gives 92.1 Å³ per cell.



Entry 4:
This record from Alexandria describes a relaxed structure of SrTaSe. The functional is GGA-PBE.

Geometry as POSCAR:
```
SrTaSe
1.0
4.403 0.000 0.000
-2.202 3.813 0.000
0.000 0.000 4.868
Sr Ta Se
1 1 1
Direct
0.000 0.000 0.000
0.667 0.333 0.500
0.333 0.667 0.500
```

Values from the calculation:
The density of states at the Fermi level comes out at 1.242 states/eV per atom. The calculation puts the formation energy (no corrections) at 0.049 eV per atom. For the volume, the calculation gives 81.7 Å³ per cell.



Entry 5:
This record from Alexandria describes a relaxed structure of SrTaSe2. The functional is GGA-PBE.

Geometry as POSCAR:
```
SrTaSe2
1.0
2.043 1.180 8.653
-2.043 1.180 8.653
0.000 -2.359 8.653
Sr Ta Se
1 1 2
Direct
0.000 0.000 0.000
0.500 0.500 0.500
0.406 0.406 0.406
0.594 0.594 0.594
```

Values from the calculation:
The density of states at the Fermi level comes out at 0.387 states/eV per atom. The calculation puts the formation energy (no corrections) at -0.281 eV per atom. For the volume, the calculation gives 125.1 Å³ per cell.



Entry 6:
This record from Alexandria describes a relaxed structure of SrTaSe. The functional is GGA-PBE.

Geometry as POSCAR:
```
SrTaSe
1.0
-1.741 1.741 6.020
1.741 -1.741 6.020
1.741 1.741 -6.020
Sr Ta Se
1 1 1
Direct
0.000 0.000 0.000
0.700 0.700 0.000
0.286 0.286 0.000
```

Values from the calculation:
The density of states at the Fermi level comes out at 0.873 states/eV per atom. The calculation puts the formation energy (no corrections) at -0.193 eV per atom. For the volume, the calculation gives 73.0 Å³ per cell.



Question: Look up the formation energy (no corrections) of the second one.
Answer: -1.341 eV per atom